[1]
## Ba19Na4Pt6 (PBE)

Data for an optimized crystal structure of Ba19Na4Pt6.

```
Ba19Na4Pt6
1.0
-7.1665 7.1665 7.1665
7.1665 -7.1665 7.1665
7.1665 7.1665 -7.1665
Ba Na Pt
19 4 6
direct
0.0000 0.0000 0.0000
0.0000 0.3603 0.3603
0.0000 0.6397 0.6397
0.0264 0.6652 0.2666
0.2402 0.6388 0.9736
0.2666 0.0264 0.6652
0.3348 0.3612 0.6014
0.3603 0.0000 0.3603
0.3603 0.3603 0.0000
0.3612 0.6014 0.3348
0.3986 0.7598 0.7334
0.6014 0.3348 0.3612
0.6388 0.9736 0.2402
0.6397 0.0000 0.6397
0.6397 0.6397 0.0000
0.6652 0.2666 0.0264
0.7334 0.3986 0.7598
0.7598 0.7334 0.3986
0.9736 0.2402 0.6388
0.0000 0.0000 0.3289
0.0000 0.3289 0.0000
0.3289 0.0000 0.0000
0.6711 0.6711 0.6711
0.1720 0.5000 0.6720
0.3280 0.8280 0.5000
0.5000 0.3280 0.8280
0.5000 0.6720 0.1720
0.6720 0.1720 0.5000
0.8280 0.5000 0.3280
```

=====

[2]
## LiCl2 (PBE)

Data for an optimized crystal structure of LiCl2.

Results
**ΔE to the lowest computed polymorph**: 0.0 meV per atom
**Energy relative to the elements, uncorrected**: -1.1925 eV per atom

```
LiCl2
1.0
4.1084 0.0000 0.0000
-2.0467 3.6090 0.0000
-0.1467 -0.9041 10.1894
Li Cl
2 4
direct
0.1463 0.3013 0.3853
0.8537 0.6987 0.6147
0.0526 0.1036 0.9115
0.1889 0.3672 0.6337
0.8111 0.6328 0.3663
0.9474 0.8964 0.0885
```

=====

[3]
## SiTe2 (PBE)

Data for an optimized crystal structure of SiTe2.

Results
**Energy relative to the elements, uncorrected**: 0.4798 eV per atom

```
SiTe2
1.0
5.3279 0.0000 0.0000
0.0000 5.3279 0.0000
0.0000 0.0000 3.0532
Si Te
1 2
direct
0.0000 0.0000 0.0000
0.0000 0.5000 0.5000
0.5000 0.0000 0.5000
```

=====

[4]
## SrLiBr3 (PBE)

Data for an optimized crystal structure of SrLiBr3.

Results
**ΔE to the lowest computed polymorph**: 336.6 meV per atom
**Energy relative to the elements, uncorrected**: -1.5305 eV per atom

```
SrLiBr3
1.0
5.9571 0.0000 0.0000
0.0000 5.9571 0.0000
0.0000 0.0000 5.9571
Sr Li Br
1 1 3
direct
0.0000 0.0000 0.0000
0.5000 0.5000 0.5000
0.0000 0.0000 0.5000
0.0000 0.5000 0.0000
0.5000 0.0000 0.0000
```

=====

[5]
## VPdS2 (PBE)

Data for an optimized crystal structure of VPdS2.

Results
**Energy relative to the elements, uncorrected**: -0.6195 eV per atom

```
VPdS2
1.0
6.3980 0.0000 0.0000
0.0000 3.2128 0.0000
0.0000 0.0000 12.9764
V Pd S
4 4 8
direct
0.1511 0.2500 0.0648
0.3489 0.7500 0.5648
0.6511 0.2500 0.4352
0.8489 0.7500 0.9352
0.0356 0.7500 0.3758
0.4644 0.2500 0.8758
0.5356 0.7500 0.1242
0.9644 0.2500 0.6242
0.1975 0.7500 0.1901
0.1980 0.7500 0.9288
0.3020 0.2500 0.4288
0.3025 0.2500 0.6901
0.6975 0.7500 0.3099
0.6980 0.7500 0.5712
0.8020 0.2500 0.0712
0.8025 0.2500 0.8099
```

=====

no.,volume (Å³/cell),N(E_F) (states/eV/atom),E_tot (eV per atom)
1,1472,0.871,-3.06
2,151,0.000,-3.06
3,87,0.551,-3.42
4,211,0.000,-3.25
5,267,0.647,-6.26